VASP calculation (PBE) on NpSi3Tc after structural relaxation.

Lattice parameters (Å, degrees): 4.111 4.111 10.202 90.00 90.00 90.00
Space group I4mm (No. 107)
Symmetry-distinct sites (fractional):
Np 0.000 0.000 0.000 x2
Si 0.000 0.000 0.570 x2
Si 0.000 0.500 0.223 x4
Tc 0.000 0.000 0.339 x2

Properties
magnetic moment	6.8	μB per cell
E	-8.18	eV/atom
formation energy (no corrections)	-0.265	eV/atom
D(E_F)	21.2	states/eV/cell